A crystal of ZnTc2Hg relaxed with PBEsol, computed with meta-GGA SCAN.

a = 3.7550 Å, b = 3.7550 Å, c = 5.0652 Å
α = 111.76°, β = 111.76°, γ = 90.00°
With the nearest neighbours (Å) after each atom.
Fractional positions:
Tc 0.2500 0.7500 0.5000  4 Tc 2.66, 4 Zn 2.86, 4 Hg 2.86
Tc 0.7500 0.2500 0.5000  4 Tc 2.66, 4 Hg 2.86, 4 Zn 2.86
Hg 0.0000 0.0000 0.0000  4 Zn 2.66, 8 Tc 2.86
Zn 0.5000 0.5000 0.0000  4 Hg 2.66, 8 Tc 2.86

Values from the calculation:
Crystal system: tetragonal
DOS at the Fermi energy in states/eV per cell: 3.50
Energy above the lowest structure with this stoichiometry in meV per atom: 405
Space group: No. 139